Material: BaSrCoO4
Method: DFT, GGA+U
State: relaxed

Output
**Total DFT energy (no corrections)**: -84.8 eV for the cell shown
**Space group**: P2_1/m

abc: 5.8749 5.9255 7.3638
angles: 90.00 108.64 90.00
Atoms (fractional coordinates):
Ba: 0.2127 0.2500 0.4285
Ba: 0.7873 0.7500 0.5715
Sr: 0.2990 0.2500 0.9605
Sr: 0.7010 0.7500 0.0395
Co: 0.2587 0.7500 0.1903
Co: 0.7413 0.2500 0.8097
O: 0.0648 0.7500 0.3378
O: 0.0844 0.7500 0.9425
O: 0.4649 0.5138 0.2400
O: 0.4649 0.9862 0.2400
O: 0.5351 0.0138 0.7600
O: 0.5351 0.4862 0.7600
O: 0.9156 0.2500 0.0575
O: 0.9352 0.2500 0.6622